Density functional theory data (GGA-PBE) for a relaxed structure of Hg2TePt.

Output
calculated total energy	-2.52	eV per atom
formation energy (no corrections)	-7	kJ per mole of atoms
mass density	10.82	g/cm³

Cell lengths 3.7890, 5.2723, 11.1222 Å; angles 90.00, 90.00, 90.00 degrees
Last column: nearest neighbours and their distance in Å.
Space group Amm2 (No. 38)
Asymmetric unit:
Hg 0.0000 0.0000 0.0000 [2 per cell]  2 Pt 2.70
Hg 0.5000 0.0000 0.3682 [2 per cell]  2 Pt 2.80
Te 0.5000 0.0000 0.7131 [2 per cell]  2 Pt 2.60
Pt 0.0000 0.0000 0.5531 [2 per cell]  2 Te 2.60, 4 Hg 2.70-2.80